# CaHfTl2 | Alexandria | GGA-PBE | relaxed
# **Calculated density**: 9.1 Mg/m³
# **E**: -3.90 eV/atom
# **E_form**: 1.10 eV per formula unit
# **Symmetry**: I-42d
data_CaHfTl2
_chemical_formula_sum 'Ca4 Hf4 Tl8'
_cell_length_a 8.180
_cell_length_b 8.180
_cell_length_c 6.840
_cell_angle_alpha 90.00
_cell_angle_beta 90.00
_cell_angle_gamma 90.00
_space_group_name_H-M_alt 'P 1'
_space_group_IT_number 1
_space_group_name_Hall 'P 1'
loop_
_atom_site_label
_atom_site_type_symbol
_atom_site_fract_x
_atom_site_fract_y
_atom_site_fract_z
Ca1 Ca 0.000 0.000 0.000
Ca2 Ca 0.000 0.500 0.250
Ca3 Ca 0.500 0.000 0.750
Ca4 Ca 0.500 0.500 0.500
Hf1 Hf 0.000 0.000 0.500
Hf2 Hf 0.000 0.500 0.750
Hf3 Hf 0.500 0.000 0.250
Hf4 Hf 0.500 0.500 0.000
Tl1 Tl 0.230 0.750 0.625
Tl2 Tl 0.250 0.230 0.375
Tl3 Tl 0.250 0.270 0.875
Tl4 Tl 0.270 0.750 0.125
Tl5 Tl 0.730 0.250 0.125
Tl6 Tl 0.750 0.730 0.875
Tl7 Tl 0.750 0.770 0.375
Tl8 Tl 0.770 0.250 0.625